First-principles (PBE) data for Pm2NiSb3Rh4 after structural relaxation, as listed in Alexandria via LeMat-Bulk.

```
Pm2NiSb3Rh4
1.0
4.3202 0.0000 0.0000
0.0000 4.3202 0.0000
0.0000 0.0000 10.8908
Pm Ni Sb Rh
2 1 3 4
Cartesian
2.1601 0.0000 2.9116 Pm
0.0000 2.1601 7.9792 Pm
2.1601 2.1601 5.4454 Ni
0.0000 0.0000 5.4454 Sb
2.1601 0.0000 9.3910 Sb
0.0000 2.1601 1.4997 Sb
2.1601 2.1601 0.0000 Rh
0.0000 0.0000 0.0000 Rh
2.1601 0.0000 6.8504 Rh
0.0000 2.1601 4.0404 Rh
```

Output
**DOS(E_F)**: 9.1 states/eV/cell
**Final energy**: -64.16 eV per formula unit
**Size of the total moment**: 0.0 μB/f.u.
**V**: 20.327 Å³/atom
**E_form (uncorrected)**: -0.710 eV per atom

---

First-principles (PBE) data for KLiTaSe4 after structural relaxation, as listed in Alexandria via LeMat-Bulk.

```
KLiTaSe4
1.0
-4.4652 -5.1704 -2.8485
4.4360 -2.7584 -1.9469
2.1562 -2.8911 9.0087
K Li Ta Se
2 2 2 8
Cartesian
1.9679 -8.8748 5.0858 K
0.1591 -1.9450 -0.8725 K
0.6645 -7.5451 0.2322 Li
1.4625 -3.2747 3.9811 Li
2.6465 -4.7303 0.7601 Ta
-0.5195 -6.0895 3.4532 Ta
-0.6284 -8.4839 2.5751 Se
0.5551 -0.9677 2.6039 Se
2.7553 -2.3359 1.6382 Se
1.5719 -9.8521 1.6094 Se
1.6191 -4.8661 -1.3884 Se
0.5079 -5.9537 5.6017 Se
2.2167 -6.5815 2.4036 Se
-0.0897 -4.2383 1.8097 Se
```

Output
**DOS(E_F)**: 3.9 states/eV/cell
**Final energy**: -34.68 eV per formula unit
**Size of the total moment**: 0.2 μB/f.u.
**V**: 27.429 Å³/atom
**E_form (uncorrected)**: -0.839 eV per atom

---

First-principles (PBE) data for PmCd2Ge2 after structural relaxation, as listed in Alexandria via LeMat-Bulk.

```
PmCd2Ge2
1.0
-2.9449 -2.9038 1.1954
3.2147 -2.9487 0.7568
-0.4828 5.1328 11.2788
Pm Cd Ge
2 4 4
Cartesian
1.3347 -1.3840 3.8024 Pm
-1.5477 0.6643 9.4286 Pm
1.5435 1.2413 10.6938 Cd
-1.7565 -1.9610 2.5371 Cd
-0.1958 1.1266 6.1305 Cd
-0.0173 -1.8464 7.1005 Cd
1.4769 0.3019 8.2479 Ge
-1.6899 -1.0216 4.9831 Ge
0.3454 -1.6717 0.6662 Ge
-0.5584 0.9520 12.5648 Ge
```

Output
**E_form**: -222 meV per atom
**Distance to the lowest polymorph of the same formula**: 0.109 eV per atom
**DOS(E_F)**: 4.6 states/eV/cell
**Final energy**: -16.93 eV per formula unit
**Size of the total moment**: 0.0 μB/f.u.
**V**: 23.375 Å³/atom

---

First-principles (PBE) data for NaTeIr3 after structural relaxation, as listed in Alexandria via LeMat-Bulk.

```
NaTeIr3
1.0
4.5688 0.0000 0.0000
0.0000 4.5688 0.0000
0.0000 0.0000 4.5688
Na Ir Te
1 3 1
Cartesian
0.0000 0.0000 0.0000 Na
0.0000 2.2844 0.0000 Ir
0.0000 0.0000 2.2844 Ir
2.2844 0.0000 0.0000 Ir
2.2844 2.2844 2.2844 Te
```

Output
**Distance to the lowest polymorph of the same formula**: 0.798 eV per atom
**DOS(E_F)**: 6.6 states/eV/cell
**Final energy**: -20.51 eV per formula unit
**Size of the total moment**: 0.0 μB/f.u.
**V**: 19.074 Å³/atom
**E_form (uncorrected)**: 2.108 eV per atom